{
  "formula": "Ta2TcRuN",
  "functional": "PBE",
  "state": "optimized geometry",
  "e_form_raw_mev_per_atom": 2333,
  "e_tot_ev_per_fu": -40.0,
  "total_magnetization_mub_per_cell": 1.07,
  "vol_a3_per_cell": 104.20,
  "crystal_system": "tetragonal",
  "lattice": [[4.768, 0.000, 0.000], [0.000, 4.768, 0.000], [0.000, 0.000, 4.584]],
  "species": ["Ta", "Ta", "Tc", "Ru", "N"],
  "frac_coords": [[0.000, 0.500, 0.000], [0.500, 0.000, 0.000], [0.000, 0.000, 0.500], [0.000, 0.000, 0.000], [0.500, 0.500, 0.500]]
}